Entry from Alexandria via LeMat-Bulk: Ba2LiY after structural relaxation (PBE-GGA).

Output
- total moment (μB per atom) = 0.0005
- total DFT energy (no corrections) (eV/cell) = -11.0
- offset from the most stable computed form (eV per atom) = 0.150

abc: 6.1874 6.1874 6.1874
angles: 60.00 60.00 60.00
With the nearest neighbours (Å) after each atom.
Fractional positions:
1 Ba 0.0000 0.0000 0.0000  4 Y 3.79, 4 Ba 3.79
2 Ba 0.2500 0.2500 0.2500  4 Ba 3.79, 4 Li 3.79
3 Li 0.5000 0.5000 0.5000  4 Ba 3.79, 4 Y 3.79
4 Y 0.7500 0.7500 0.7500  4 Li 3.79, 4 Ba 3.79